*P*
Ba2CaMgPd | GGA-PBE | optimized geometry

Values from the calculation:
**Magnetic moment**: 0.0 μB per cell
**Space group**: P4/mmm, No. 123
**Theoretical density**: 3.6 g cm⁻³

Geometry as POSCAR:
```
Ba2CaMgPd
1.0
6.243 0.000 0.000
0.000 6.243 0.000
0.000 0.000 5.331
Ba Mg Ca Pd
2 1 1 1
direct
0.500 0.000 0.000
0.000 0.500 0.000
0.000 0.000 0.500
0.500 0.500 0.500
0.000 0.000 0.000
```



*Q*
Ba2CaMgPd | GGA-PBE | optimized geometry

Values from the calculation:
**Magnetic moment**: 0.0 μB per cell
**Space group**: P4/mmm, No. 123
**Theoretical density**: 3.4 g cm⁻³

Geometry as POSCAR:
```
Ba2CaMgPd
1.0
-3.664 -4.830 1.436
5.028 -3.384 1.446
-0.308 1.816 5.323
Ca Ba Pd Mg
1 2 1 1
direct
0.000 0.000 0.500
0.000 0.500 0.000
0.500 0.000 0.000
0.000 0.000 0.000
0.500 0.500 0.500
```



Which of them is most stable, and which least? Most stable: *Q*; least stable: *P*.



*P*
Ba2CaMgRh | GGA-PBE | optimized geometry

Values from the calculation:
**Magnetic moment**: 0.0 μB per cell
**Space group**: P4/mmm, No. 123
**Theoretical density**: 3.8 g cm⁻³

Geometry as POSCAR:
```
Ba2CaMgRh
1.0
-0.378 -2.088 -5.675
0.994 -5.630 2.005
-5.231 -0.707 0.608
Ca Mg Ba Rh
1 1 2 1
direct
0.500 0.500 0.500
0.000 0.000 0.500
0.000 0.500 0.000
0.500 0.000 0.000
0.000 0.000 0.000
```



*Q*
Ba2CaMgRh | GGA-PBE | optimized geometry

Values from the calculation:
**Magnetic moment**: 0.0 μB per cell
**Space group**: P4/mmm, No. 123
**Theoretical density**: 3.6 g cm⁻³

Geometry as POSCAR:
```
Ba2CaMgRh
1.0
6.079 0.000 0.000
0.000 6.079 0.000
0.000 0.000 5.559
Rh Ba Ca Mg
1 2 1 1
direct
0.000 0.000 0.000
0.500 0.000 0.000
0.000 0.500 0.000
0.000 0.000 0.500
0.500 0.500 0.500
```



Which of them is most stable, and which least? Most stable: *Q*; least stable: *P*.



*P*
Ba2CaMgZn | GGA-PBE | optimized geometry

Values from the calculation:
**Magnetic moment**: 0.0 μB per cell
**Space group**: P4/mmm, No. 123
**Theoretical density**: 2.8 g cm⁻³

Geometry as POSCAR:
```
Ba2CaMgZn
1.0
6.349 0.000 0.000
0.000 6.349 0.000
0.000 0.000 5.850
Ba Mg Zn Ca
2 1 1 1
direct
0.000 0.500 0.000
0.500 0.000 0.000
0.500 0.500 0.500
0.000 0.000 0.000
0.000 0.000 0.500
```



*Q*
Ba2CaMgZn | GGA-PBE | optimized geometry

Values from the calculation:
**Magnetic moment**: 0.0 μB per cell
**Space group**: P4/mmm, No. 123
**Theoretical density**: 3.1 g cm⁻³

Geometry as POSCAR:
```
Ba2CaMgZn
1.0
-4.117 4.699 -1.771
-4.860 -3.152 2.934
1.014 2.555 4.424
Ba Zn Ca Mg
2 1 1 1
direct
0.500 0.000 0.000
0.000 0.500 0.000
0.000 0.000 0.000
0.500 0.500 0.500
0.000 0.000 0.500
```



Which of them is most stable, and which least? Most stable: *Q*; least stable: *P*.



*P*
BaCaMn2 | GGA-PBE | optimized geometry

Values from the calculation:
**Magnetic moment**: 0.0 μB per cell
**Space group**: R3m, No. 160
**Theoretical density**: 3.8 g cm⁻³

Geometry as POSCAR:
```
BaCaMn2
1.0
4.103 -0.003 0.039
2.055 3.552 0.039
1.979 1.141 8.551
Mn Ca Ba
2 1 1
direct
0.036 0.036 0.893
0.706 0.706 0.882
0.287 0.287 0.138
0.471 0.471 0.587
```



*Q*
BaCaMn2 | GGA-PBE | optimized geometry

Values from the calculation:
**Magnetic moment**: 7.8 μB per cell
**Space group**: P4mm, No. 99
**Theoretical density**: 4.0 g cm⁻³

Geometry as POSCAR:
```
BaCaMn2
1.0
3.666 0.010 0.000
-0.010 3.666 0.000
0.000 0.000 8.918
Mn Ba Ca
2 1 1
direct
0.500 0.500 0.175
0.000 0.000 0.055
0.000 0.000 0.439
0.500 0.500 0.830
```



*R*
BaCaMn2 | GGA-PBE | optimized geometry

Values from the calculation:
**Magnetic moment**: 7.6 μB per cell
**Space group**: Pmmm, No. 47
**Theoretical density**: 4.0 g cm⁻³

Geometry as POSCAR:
```
BaCaMn2
1.0
-2.932 2.065 -1.615
-2.465 -3.115 0.493
-4.395 -0.504 7.335
Ba Mn Ca
1 2 1
direct
0.500 0.250 0.250
0.000 0.060 0.940
0.000 0.440 0.560
0.500 0.750 0.750
```



*S*
BaCaMn2 | GGA-PBE | optimized geometry

Values from the calculation:
**Magnetic moment**: 7.4 μB per cell
**Space group**: Amm2, No. 38
**Theoretical density**: 3.8 g cm⁻³

Geometry as POSCAR:
```
BaCaMn2
1.0
-1.216 -4.380 -0.892
0.279 -0.922 4.149
-6.015 1.093 2.835
Ca Mn Ba
1 2 1
direct
0.500 0.760 0.855
0.500 0.081 0.213
0.000 0.185 0.005
0.000 0.474 0.427
```



Which of them is most stable, and which least? Most stable: *P*; least stable: *R*.



*P*
BaCaMn | GGA-PBE | optimized geometry

Values from the calculation:
**Magnetic moment**: 3.7 μB per cell
**Space group**: F-43m, No. 216
**Theoretical density**: 3.1 g cm⁻³

Geometry as POSCAR:
```
BaCaMn
1.0
5.589 0.000 0.000
2.795 4.840 0.000
2.795 1.613 4.564
Ba Mn Ca
1 1 1
direct
0.750 0.750 0.750
0.500 0.500 0.500
0.000 0.000 0.000
```



*Q*
BaCaMn | GGA-PBE | optimized geometry

Values from the calculation:
**Magnetic moment**: 3.5 μB per cell
**Space group**: I4mm, No. 107
**Theoretical density**: 3.5 g cm⁻³

Geometry as POSCAR:
```
BaCaMn
1.0
7.424 -0.026 0.029
6.371 3.810 0.018
1.052 0.299 3.825
Mn Ba Ca
1 1 1
direct
0.678 0.678 0.322
0.025 0.025 0.975
0.297 0.297 0.703
```



Which of them is most stable, and which least? Most stable: *Q*; least stable: *P*.



*P*
BaCaMn | GGA-PBE | optimized geometry

Values from the calculation:
**Magnetic moment**: 3.6 μB per cell
**Space group**: F-43m, No. 216
**Theoretical density**: 3.2 g cm⁻³

Geometry as POSCAR:
```
BaCaMn
1.0
-3.865 4.007 0.144
-5.133 -1.012 -1.909
-4.270 -0.376 3.556
Ca Mn Ba
1 1 1
direct
0.500 0.500 0.500
0.750 0.750 0.750
0.000 0.000 0.000
```



*Q*
BaCaMn | GGA-PBE | optimized geometry

Values from the calculation:
**Magnetic moment**: 3.4 μB per cell
**Space group**: P3m1, No. 156
**Theoretical density**: 3.4 g cm⁻³

Geometry as POSCAR:
```
BaCaMn
1.0
-0.273 -1.975 3.541
-1.882 -1.461 -3.291
6.527 -4.227 -1.855
Mn Ba Ca
1 1 1
direct
0.667 0.333 0.656
0.000 0.000 0.946
0.333 0.667 0.398
```



Which of them is most stable, and which least? Most stable: *Q*; least stable: *P*.